# BaSb

A relaxed BaSb crystal (GGA-PBE, Alexandria).

Cell lengths 4.919, 4.919, 9.745 Å; angles 90.00, 90.00, 120.00 degrees
Element x y z (fractional)
Sb 0.000 0.000 0.572
Sb 0.667 0.333 0.678
Ba 0.667 0.333 0.327
Ba 0.000 0.000 0.923

Raw formation energy ... -0.65 eV per formula unit
SG ... P-3m1 (164)